Record 1
Computed, not measured: a relaxed Pr3Er3Tl5 crystal at the GGA-PBE level of DFT.

Geometry as extended XYZ:
```
11
Lattice="-2.124 2.606 5.138 -8.420 -0.470 -3.243 3.359 -6.838 4.857" Properties=species:S:1:pos:R:3 pbc="T T T"
Pr 0.855 -1.741 1.236
Pr -3.773 -5.448 1.203
Pr -2.143 -0.120 -0.826
Tl -1.630 -3.413 4.726
Tl -5.556 -1.290 2.026
Tl -6.291 1.011 0.555
Tl -2.980 -1.467 3.180
Tl 1.024 -2.944 5.585
Er -0.259 -0.332 3.730
Er -4.913 -4.258 3.797
Er -3.075 1.190 1.793
```

Results
The space group is P-62m (189). The energy of formation is 0.451 eV per atom. As for the crystal system: hexagonal.


Record 2
Computed, not measured: a relaxed PrEr3Tl3 crystal at the GGA-PBE level of DFT.

Geometry as extended XYZ:
```
28
Lattice="9.373 0.000 0.000 0.000 9.373 0.000 0.000 0.000 9.373" Properties=species:S:1:pos:R:3 pbc="T T T"
Tl 1.039 4.679 2.541
Tl 3.648 4.694 7.228
Tl 2.541 1.039 4.679
Tl 7.228 3.648 4.694
Tl 9.365 2.145 8.334
Tl 4.679 2.541 1.039
Tl 4.694 7.228 3.648
Tl 6.832 5.725 0.008
Tl 0.008 6.832 5.725
Tl 5.725 0.008 6.832
Tl 8.334 9.365 2.145
Tl 2.145 8.334 9.365
Er 3.028 1.659 7.715
Er 6.345 6.345 6.345
Er 1.729 1.729 1.729
Er 2.958 7.644 6.415
Er 7.715 3.028 1.659
Er 5.554 0.867 3.819
Er 7.644 6.415 2.958
Er 6.415 2.958 7.644
Er 0.867 3.819 5.554
Er 1.659 7.715 3.028
Er 3.819 5.554 0.867
Er 8.506 8.506 8.506
Pr 4.091 4.091 4.091
Pr 8.778 0.595 5.282
Pr 5.282 8.778 0.595
Pr 0.595 5.282 8.778
```

Results
The value obtained for the energy above the most stable polymorph in this dataset is 12 meV/atom. The space group is P2_13 (198). The energy of formation is -0.239 eV per atom. As for the crystal system: cubic.


Record 3
Computed, not measured: a relaxed PrEr5Tl6 crystal at the GGA-PBE level of DFT.

Geometry as extended XYZ:
```
12
Lattice="-3.097 3.706 -4.362 -8.654 1.761 4.385 -2.176 5.494 4.585" Properties=species:S:1:pos:R:3 pbc="T T T"
Tl -2.997 1.417 -0.039
Tl -7.415 7.111 1.624
Tl -6.513 3.850 2.984
Tl -10.170 6.167 5.922
Tl -8.755 4.049 0.062
Tl -3.757 4.794 -1.313
Er -7.206 4.866 5.996
Er -3.624 2.388 2.975
Er -4.441 5.811 1.608
Er -9.487 5.150 3.001
Er -5.876 2.733 0.012
Pr 0.000 0.000 0.000
```

Results
The value obtained for the energy above the most stable polymorph in this dataset is 81 meV/atom. The space group is C2/m (12). The energy of formation is -0.240 eV per atom. As for the crystal system: monoclinic.


Record 4
Computed, not measured: a relaxed Pr3Er3Tl2 crystal at the GGA-PBE level of DFT.

Geometry as extended XYZ:
```
16
Lattice="5.108 0.000 0.000 -2.554 6.008 0.000 0.000 0.000 16.806" Properties=species:S:1:pos:R:3 pbc="T T T"
Pr 0.000 3.470 12.604
Pr 2.554 2.539 4.201
Pr 0.000 0.581 15.060
Pr 0.000 0.581 10.149
Pr 2.554 5.427 1.746
Pr 2.554 5.427 6.657
Er 2.554 1.624 7.708
Er 2.554 1.624 0.695
Er 2.554 0.861 12.604
Er 0.000 5.147 4.201
Er 0.000 4.384 16.111
Er 0.000 4.384 9.098
Tl 0.000 2.845 2.054
Tl 2.554 3.163 14.752
Tl 2.554 3.163 10.457
Tl 0.000 2.845 6.349
```

Results
The space group is Cmcm (63). The energy of formation is -0.118 eV per atom. As for the crystal system: orthorhombic.


Record 5
Computed, not measured: a relaxed PrEr2Tl crystal at the GGA-PBE level of DFT.

Geometry as extended XYZ:
```
4
Lattice="-1.446 -3.114 -1.223 2.320 0.027 -2.812 6.033 -4.739 4.932" Properties=species:S:1:pos:R:3 pbc="T T T"
Pr 3.453 -3.913 0.449
Er 1.341 -1.054 1.097
Er 4.691 -3.685 3.836
Tl 0.437 -1.544 -2.017
```

Results
The value obtained for the energy above the most stable polymorph in this dataset is 2 meV/atom. The space group is P4/mmm (123). The energy of formation is -0.172 eV per atom. As for the crystal system: tetragonal.


Record 6
Computed, not measured: a relaxed PrEr3Tl2 crystal at the GGA-PBE level of DFT.

Geometry as extended XYZ:
```
12
Lattice="5.395 0.000 0.000 -2.698 8.864 -0.852 0.000 -4.756 7.968" Properties=species:S:1:pos:R:3 pbc="T T T"
Tl 2.698 4.208 0.746
Tl 2.698 -3.802 6.841
Tl 0.000 -0.100 6.370
Tl 0.000 7.909 0.275
Pr 2.698 2.201 6.611
Pr 0.000 1.906 0.504
Er 2.698 -1.251 5.305
Er 0.000 2.576 4.270
Er 2.698 4.967 3.975
Er 2.698 1.532 2.846
Er 0.000 -0.860 3.141
Er 0.000 5.359 1.810
```

Results
The value obtained for the energy above the most stable polymorph in this dataset is 88 meV/atom. The space group is C2/m (12). The energy of formation is -0.172 eV per atom. As for the crystal system: monoclinic.


Number 1: D(E_F) 9.345 states/eV per cell. Number 2: D(E_F) 31.460 states/eV per cell. Number 3: D(E_F) 11.047 states/eV per cell. Number 4: D(E_F) 22.471 states/eV per cell. Number 5: D(E_F) 3.698 states/eV per cell. Number 6: D(E_F) 12.441 states/eV per cell.